Material: TbPmNd2
Method: DFT, PBE
State: relaxed Values from VASP.

## Properties
The formation energy is 6.0 kJ/mol of formula units. Its total magnetization is 0.000 μB per cell. Its space group is No. 160. For the volume, the calculation gives 137 Å³/cell.

Quantum ESPRESSO input file:
```
&SYSTEM
  ibrav = 0, nat = 4, ntyp = 3
/
ATOMIC_SPECIES
Tb 158.93 Tb.upf
Pm 145.00 Pm.upf
Nd 144.24 Nd.upf
ATOMIC_POSITIONS crystal
Tb 0.667 0.667 0.999
Pm 0.500 0.500 0.501
Nd 0.082 0.082 0.753
Nd 0.251 0.251 0.247
CELL_PARAMETERS angstrom
-0.889 3.489 0.640
-1.569 0.935 3.168
9.866 3.327 6.014
```